Entry 1:
A plane-wave DFT calculation with PBE-GGA was carried out for a relaxed NaCo2BHIr crystal.

Space-group type ... Cm, No. 8
E above lowest polymorph ... 0.092 eV per atom

Cell: 5.546 2.724 9.895 Å, 90.00 121.24 90.00°
Element x y z (fractional)
B (0.360, 0.500, 0.519)
B (0.360, 0.000, 0.019)
H (0.875, 0.000, 0.540)
H (0.875, 0.500, 0.040)
Na (0.205, 0.500, 0.734)
Na (0.205, 0.000, 0.234)
Co (0.044, 0.500, 0.940)
Co (0.674, 0.500, 0.471)
Co (0.674, 0.000, 0.971)
Co (0.044, 0.000, 0.440)
Ir (0.645, 0.000, 0.695)
Ir (0.645, 0.500, 0.195)

=====

Entry 2:
A plane-wave DFT calculation with PBE-GGA was carried out for a relaxed NaCo2BHIr crystal.

Space-group type ... Cm, No. 8
E above lowest polymorph ... 0.050 eV per atom

Cell: 5.254 2.727 10.246 Å, 90.00 119.15 90.00°
Element x y z (fractional)
Co (0.699, 0.000, 0.318)
Co (0.212, 0.500, 0.832)
Co (0.699, 0.500, 0.818)
Co (0.212, 0.000, 0.332)
H (0.806, 0.500, 0.430)
H (0.806, 0.000, 0.930)
B (0.367, 0.000, 0.730)
B (0.367, 0.500, 0.230)
Ir (0.187, 0.000, 0.045)
Ir (0.187, 0.500, 0.545)
Na (0.734, 0.000, 0.593)
Na (0.734, 0.500, 0.093)

=====

Entry 3:
A plane-wave DFT calculation with PBE-GGA was carried out for a relaxed NaCo2BHIr crystal.

Space-group type ... Imm2, No. 44
E above lowest polymorph ... 0.013 eV per atom

Cell: 2.656 5.321 8.772 Å, 90.00 90.00 90.00°
Element x y z (fractional)
Co (0.500, 0.760, 0.067)
Co (0.500, 0.240, 0.067)
Co (0.000, 0.260, 0.567)
Co (0.000, 0.740, 0.567)
H (0.500, 0.500, 0.563)
H (0.000, 0.000, 0.063)
Ir (0.500, 0.500, 0.341)
Ir (0.000, 0.000, 0.841)
B (0.000, 0.500, 0.145)
B (0.500, 0.000, 0.645)
Na (0.000, 0.000, 0.314)
Na (0.500, 0.500, 0.814)

=====

Entry 4:
A plane-wave DFT calculation with PBE-GGA was carried out for a relaxed LiCo2BH crystal.

Space-group type ... P4/mmm, No. 123
Electronic total energy ... -4.157 eV/atom

Cell: 3.898 2.637 3.898 Å, 90.00 90.00 90.00°
Element x y z (fractional)
H (0.000, 0.500, 0.000)
Co (0.500, 0.000, 0.000)
Co (0.000, 0.000, 0.500)
Li (0.000, 0.000, 0.000)
B (0.500, 0.500, 0.500)

=====

Entry 5:
A plane-wave DFT calculation with PBE-GGA was carried out for a relaxed Mg2CoBH crystal.

Space-group type ... P4/mmm, No. 123
Electronic total energy ... -3.203 eV/atom

Cell: 4.794 2.987 4.794 Å, 90.00 90.00 90.00°
Element x y z (fractional)
Co (0.000, 0.000, 0.000)
Mg (0.000, 0.000, 0.500)
Mg (0.500, 0.000, 0.000)
H (0.000, 0.500, 0.000)
B (0.500, 0.500, 0.500)

=====

| no. | Fermi-level density of states (states/eV/cell) |
| --- | --- |
| 1 | 9.042 |
| 2 | 12.363 |
| 3 | 9.613 |
| 4 | 3.986 |
| 5 | 3.107 |